[1]
## Ti6Al2Os (PBE)

Data for a geometry-optimized Ti6Al2Os structure.

## Properties
energy of formation = 0.13 eV/atom

Lattice parameters (Å, degrees): 4.3205 6.1894 12.9367 90.00 90.00 90.00
Closest atoms and distances in Å follow each position.
Space group Immm (No. 71)
Unique sites:
Ti  0.0000  0.2369  0.0000  2 Os 2.61, 2 Al 2.71
Ti  0.0000  0.2584  0.3393  1 Os 2.56, 3 Al 2.68-2.69
Al  0.0000  0.5000  0.1674  8 Ti 2.68-2.71
Os  0.0000  0.5000  0.5000  8 Ti 2.56-2.61

***

[2]
## ZrTi2AlOs (PBE)

Data for a geometry-optimized ZrTi2AlOs structure.

## Properties
energy of formation = 0.32 eV/atom

Lattice parameters (Å, degrees): 4.7212 4.7212 4.6951 90.00 90.00 90.00
Closest atoms and distances in Å follow each position.
Space group P4/mmm (No. 123)
Unique sites:
Zr  0.0000  0.0000  0.0000  8 Ti 3.33, 4 Al 3.34
Ti  0.0000  0.5000  0.5000  2 Os 2.36
Al  0.5000  0.5000  0.0000  2 Os 2.35
Os  0.5000  0.5000  0.5000  2 Al 2.35, 4 Ti 2.36

***

[3]
## AlTl3Os (PBE)

Data for a geometry-optimized AlTl3Os structure.

## Properties
energy of formation = 1.44 eV/atom

Lattice parameters (Å, degrees): 5.2743 5.2743 5.2743 90.00 90.00 90.00
Closest atoms and distances in Å follow each position.
Space group Pm-3m (No. 221)
Unique sites:
Al  0.0000  0.0000  0.0000  6 Tl 2.64
Tl  0.0000  0.0000  0.5000  2 Al 2.64
Os  0.5000  0.5000  0.5000  12 Tl 3.73

***

Density of states at the Fermi level? In order: 20.7; 5.1; 5.5 states/eV per cell.